Record 1
! PBEsol FeTe2Rh, optimized geometry; values from VASP
&SYSTEM
  ibrav = 0, nat = 4, ntyp = 3
/
ATOMIC_SPECIES
Fe 55.84 Fe.upf
Te 127.60 Te.upf
Rh 102.91 Rh.upf
CELL_PARAMETERS angstrom
3.460 0.000 0.000
0.000 3.460 0.000
0.000 0.000 6.689
ATOMIC_POSITIONS crystal
Fe 0.000 0.000 0.000
Te 0.000 0.000 0.378
Te 0.500 0.500 0.835
Rh 0.500 0.500 0.218
! formation energy (no corrections) = -1.035 kcal/mol of atoms


Record 2
! PBEsol CaTiVP3O12, optimized geometry; values from VASP
&SYSTEM
  ibrav = 0, nat = 36, ntyp = 5
/
ATOMIC_SPECIES
Ca 40.08 Ca.upf
Ti 47.87 Ti.upf
V 50.94 V.upf
P 30.97 P.upf
O 16.00 O.upf
CELL_PARAMETERS angstrom
4.286 2.475 7.215
-4.286 2.475 7.215
0.000 -4.949 7.215
ATOMIC_POSITIONS crystal
Ca 0.000 0.000 0.000
Ca 0.500 0.500 0.500
Ti 0.352 0.352 0.352
Ti 0.852 0.852 0.852
V 0.143 0.143 0.143
V 0.643 0.643 0.643
P 0.037 0.747 0.459
P 0.247 0.537 0.959
P 0.459 0.037 0.747
P 0.537 0.959 0.247
P 0.747 0.459 0.037
P 0.959 0.247 0.537
O 0.000 0.795 0.625
O 0.062 0.915 0.270
O 0.076 0.726 0.943
O 0.125 0.295 0.500
O 0.202 0.374 0.992
O 0.226 0.576 0.443
O 0.270 0.062 0.915
O 0.295 0.500 0.125
O 0.374 0.992 0.202
O 0.415 0.562 0.770
O 0.443 0.226 0.576
O 0.492 0.874 0.702
O 0.500 0.125 0.295
O 0.562 0.770 0.415
O 0.576 0.443 0.226
O 0.625 0.000 0.795
O 0.702 0.492 0.874
O 0.726 0.943 0.076
O 0.770 0.415 0.562
O 0.795 0.625 0.000
O 0.874 0.702 0.492
O 0.915 0.270 0.062
O 0.943 0.076 0.726
O 0.992 0.202 0.374
! formation energy (no corrections) = -59.320 kcal/mol of atoms


Record 3
! PBEsol InFe2I, optimized geometry; values from VASP
&SYSTEM
  ibrav = 0, nat = 16, ntyp = 3
/
ATOMIC_SPECIES
In 114.82 In.upf
Fe 55.84 Fe.upf
I 126.90 I.upf
CELL_PARAMETERS angstrom
6.428 0.000 0.000
0.000 6.428 0.000
0.000 0.000 6.428
ATOMIC_POSITIONS crystal
In 0.000 0.000 0.000
In 0.000 0.500 0.500
In 0.500 0.000 0.500
In 0.500 0.500 0.000
Fe 0.250 0.250 0.250
Fe 0.250 0.250 0.750
Fe 0.250 0.750 0.250
Fe 0.250 0.750 0.750
Fe 0.750 0.250 0.250
Fe 0.750 0.250 0.750
Fe 0.750 0.750 0.250
Fe 0.750 0.750 0.750
I 0.000 0.000 0.500
I 0.000 0.500 0.000
I 0.500 0.000 0.000
I 0.500 0.500 0.500
! formation energy (no corrections) = 17.849 kcal/mol of atoms


| no. | total moment (μB/cell) | N(E_F) (states/eV/cell) |
| --- | --- | --- |
| 1 | 2.1 | 3.8 |
| 2 | 4.0 | 12.5 |
| 3 | 15.4 | 17.2 |